1.
A plane-wave DFT calculation with PBE was carried out for a relaxed structure of YZr2Ni.

## Properties
Total magnetic moment in μB/f.u.: 0.00
Calculated formation energy in eV/atom: 0.19
Relative energy among the computed polymorphs in meV per atom: 351

a = 5.6037 Å, b = 10.3512 Å, c = 3.2592 Å
α = 90.00°, β = 114.84°, γ = 90.00°
With the nearest neighbours (Å) after each atom.
Space group C2/m (No. 12)
Unique sites:
Y1 0.0000 0.0000 0.0000  2 Ni 2.80, 4 Zr 3.07
Zr1 0.2500 0.2500 0.5000  2 Zr 2.80, 2 Ni 3.07, 2 Y 3.07
Ni1 0.0000 0.5000 0.0000  2 Y 2.80, 4 Zr 3.07

=====

2.
A plane-wave DFT calculation with PBE was carried out for a relaxed structure of Sr2InPdO6.

## Properties
Total magnetic moment in μB/f.u.: 0.65
Formation energy (no corrections) in eV/atom: -1.6253

a = 5.7628 Å, b = 5.8197 Å, c = 9.9449 Å
α = 90.00°, β = 125.02°, γ = 90.00°
With the nearest neighbours (Å) after each atom.
Space group P2_1/c (No. 14)
Unique sites:
Sr1 0.2398 0.0439 0.2493  6 O 2.49-2.76
In1 0.5000 0.0000 0.0000  6 O 2.16-2.19
Pd1 0.0000 0.0000 0.5000  6 O 2.03
O1 0.1535 0.2172 0.9563  1 Pd 2.03, 1 In 2.19
O2 0.2402 0.7010 0.9576  1 Pd 2.03, 1 In 2.17
O3 0.3230 0.0206 0.7409  1 Pd 2.03, 1 In 2.16

=====

3.
A plane-wave DFT calculation with PBE was carried out for a relaxed structure of Sm2PPd6.

## Properties
Total magnetic moment in μB/f.u.: 0.00
Calculated formation energy in eV/atom: -0.83

a = 8.7047 Å, b = 8.7047 Å, c = 8.7047 Å
α = 90.00°, β = 90.00°, γ = 90.00°
With the nearest neighbours (Å) after each atom.
Space group Fm-3m (No. 225)
Unique sites:
Sm1 0.2500 0.2500 0.2500  12 Pd 3.08
P1 0.0000 0.0000 0.0000  6 Pd 2.33
Pd1 0.0000 0.0000 0.2677  1 P 2.33